(1)
Material: Al2ReH4
Method: DFT, GGA-PBE
State: optimized geometry

Structure (extended XYZ):
```
14
Lattice="-3.116 0.886 -3.183 -0.910 -4.394 -0.332 -4.552 1.092 4.760" Properties=species:S:1:pos:R:3 pbc="T T T"
H -1.376 -2.556 -0.984
H -4.729 -1.479 -2.120
H -5.270 -0.533 1.914
Re -4.869 -2.019 2.584
H -4.373 0.886 -0.332
H -3.849 -0.937 3.365
Al -5.516 -1.766 0.049
H -4.205 -3.303 1.577
Al -7.577 -1.764 2.067
Re -3.710 -0.397 -1.339
Al -1.001 -0.653 -0.822
Al -3.062 -0.651 1.196
H -7.202 0.139 2.230
H -3.308 -1.883 -0.668
```

## Properties
The calculation puts the uncorrected energy at -0.351 Ry per atom.



(2)
Material: Sm2Dy2Pd15
Method: DFT, GGA-PBE
State: optimized geometry

Structure (extended XYZ):
```
19
Lattice="-6.372 -3.187 -0.014 1.829 -6.186 -3.024 0.702 -3.973 5.872" Properties=species:S:1:pos:R:3 pbc="T T T"
Pd -1.472 -3.732 4.063
Sm -1.391 -4.835 1.026
Dy -3.424 -11.898 2.526
Pd -4.198 -3.429 1.795
Pd -4.466 -6.234 0.985
Pd 0.914 -3.093 -1.512
Pd 0.626 -7.111 1.848
Pd -0.691 -5.264 -2.099
Pd -0.449 -7.704 -0.490
Pd 1.483 -5.506 -0.290
Pd 0.351 -1.987 2.936
Pd -3.392 -5.642 3.323
Pd -3.851 -4.108 -0.939
Pd -3.186 -1.593 -0.007
Pd 1.049 -4.653 3.138
Sm -2.449 -8.511 1.807
Pd -1.001 -6.620 3.868
Pd -2.840 -6.726 -1.036
Dy -0.417 -1.448 0.307
```

## Properties
The value obtained for the formation energy is -0.57 eV/atom.



(3)
Material: CeSc5Cu6
Method: DFT, GGA-PBE
State: optimized geometry

Structure (extended XYZ):
```
12
Lattice="4.521 0.019 -1.319 -0.897 5.742 -2.990 -0.093 0.481 8.094" Properties=species:S:1:pos:R:3 pbc="T T T"
Sc 0.701 5.119 2.477
Cu -0.067 5.395 -0.151
Sc -0.449 2.871 -1.495
Sc 2.830 1.123 1.309
Cu 0.358 2.671 1.268
Sc 2.392 4.015 -0.151
Sc 1.139 2.227 3.936
Cu 1.609 4.175 -2.829
Ce 0.000 0.000 0.000
Cu 2.014 1.586 -1.481
Cu 3.173 3.571 2.517
Cu 3.598 0.847 3.936
```

## Properties
The value obtained for the formation energy is -0.21 eV/atom.



(4)
Material: Ho2AgAu
Method: DFT, GGA-PBE
State: optimized geometry

Structure (extended XYZ):
```
4
Lattice="-2.536 2.296 1.022 0.444 -1.652 4.811 3.567 3.544 0.888" Properties=species:S:1:pos:R:3 pbc="T T T"
Au 0.737 2.094 3.361
Ag -1.268 1.148 0.511
Ho 0.222 -0.826 2.405
Ho 1.783 1.772 0.444
```

## Properties
The value obtained for the formation energy is -0.61 eV/atom.



(5)
Material: Ac2CdAgAu6
Method: DFT, GGA-PBE
State: optimized geometry

Structure (extended XYZ):
```
10
Lattice="6.974 -0.260 1.242 -0.435 7.358 -1.590 4.226 2.455 5.132" Properties=species:S:1:pos:R:3 pbc="T T T"
Ag 0.000 0.000 0.000
Ac 7.273 2.630 3.301
Ac 3.493 6.924 1.483
Au 3.577 2.820 2.483
Au 5.815 8.088 4.242
Cd 3.269 3.549 -0.174
Au 7.188 6.734 2.300
Au 5.019 5.025 3.896
Au 5.746 4.529 0.887
Au 4.950 1.466 0.542
```

## Properties
The value obtained for the formation energy is -0.44 eV/atom.



(6)
Material: Pm7Ge2Pt
Method: DFT, GGA-PBE
State: optimized geometry

Structure (extended XYZ):
```
10
Lattice="5.029 0.000 0.000 -2.515 4.355 0.000 0.000 0.000 13.282" Properties=species:S:1:pos:R:3 pbc="T T T"
Pm 2.515 1.452 1.700
Pt 0.000 0.000 12.859
Pm 0.000 2.904 0.118
Pm 0.000 0.000 9.787
Ge 2.515 1.452 4.697
Pm 2.515 1.452 11.490
Pm 0.000 2.904 5.711
Ge 0.000 2.904 8.899
Pm 2.515 1.452 7.729
Pm 0.000 0.000 3.639
```

## Properties
The value obtained for the formation energy is -0.45 eV/atom.



(7)
Material: Cs2GaSbS4
Method: DFT, GGA-PBE
State: optimized geometry

Structure (extended XYZ):
```
16
Lattice="-5.225 -4.007 -1.911 5.174 -3.660 -6.472 2.842 -6.556 5.979" Properties=species:S:1:pos:R:3 pbc="T T T"
Ga 3.352 -8.434 -3.582
Cs 0.000 -4.673 -1.669
S 0.261 -6.639 -7.404
S 0.190 -5.011 1.675
S 1.832 -10.022 -4.600
S -1.378 -1.626 -1.128
S 3.438 -9.159 -1.426
S -1.386 -9.998 1.223
Cs -0.889 -8.005 -4.550
S 2.267 -6.457 -3.890
Cs 1.490 -8.109 1.464
Ga -4.511 -4.451 -2.736
S -3.056 -6.144 -2.292
Sb 1.769 -5.002 -6.325
Cs 0.463 -11.125 -1.704
Sb -2.874 -7.842 0.027
```

## Properties
The calculation puts the uncorrected energy at -0.289 Ry per atom.



(8)
Material: RbI2Br8
Method: DFT, GGA-PBE
State: optimized geometry

Structure (extended XYZ):
```
11
Lattice="-4.965 -2.156 -7.853 4.607 -3.209 -6.725 0.448 -8.325 -2.691" Properties=species:S:1:pos:R:3 pbc="T T T"
Rb 0.000 0.000 0.000
Br 2.099 -9.900 -10.390
Br -2.009 -3.791 -6.878
I -1.154 -2.643 -4.541
Br -2.808 -7.397 -8.618
Br 0.844 -8.820 -6.658
I 1.244 -11.048 -12.728
Br 2.386 -6.535 -5.828
Br -2.296 -7.155 -11.441
Br -0.754 -4.870 -10.611
Br 2.898 -6.293 -8.651
```

## Properties
The calculation puts the uncorrected energy at -0.135 Ry per atom.



(9)
Material: ZrICl2
Method: DFT, GGA-PBE
State: optimized geometry

Structure (extended XYZ):
```
4
Lattice="1.951 0.000 12.157 -0.975 1.689 12.157 -0.975 -1.689 12.157" Properties=species:S:1:pos:R:3 pbc="T T T"
Cl 0.000 0.000 32.170
Cl 0.000 0.000 4.302
I 0.000 0.000 0.000
Zr 0.000 0.000 18.236
```

## Properties
The energy relative to the lowest polymorph listed for this composition comes out at 20 meV per atom.



(10)
Material: ScMnBBr2
Method: DFT, GGA-PBE
State: optimized geometry

Structure (extended XYZ):
```
5
Lattice="5.151 0.000 0.000 0.000 3.864 0.000 0.000 0.000 5.151" Properties=species:S:1:pos:R:3 pbc="T T T"
B 0.000 1.932 0.000
Br 0.000 0.000 2.576
Br 2.576 0.000 0.000
Sc 2.576 1.932 2.576
Mn 0.000 0.000 0.000
```

## Properties
The calculation puts the uncorrected energy at -0.351 Ry per atom.



(11)
Material: Pm6Dy3Ho2In
Method: DFT, GGA-PBE
State: optimized geometry

Structure (extended XYZ):
```
12
Lattice="6.185 -0.007 0.007 -3.097 5.354 0.007 -1.055 -1.827 11.562" Properties=species:S:1:pos:R:3 pbc="T T T"
Pm -1.023 1.740 2.860
Ho 0.001 3.564 0.007
Pm 3.056 1.779 8.716
Dy -2.068 3.541 5.788
Dy 1.016 1.760 5.788
Pm 2.068 3.581 2.885
Pm 0.014 3.536 8.716
Ho 3.087 1.782 0.007
Dy 4.101 -0.022 5.788
In 0.000 0.000 0.000
Pm -0.035 -0.061 8.691
Pm 2.018 -0.017 2.860
```

## Properties
The value obtained for the formation energy is -0.04 eV/atom.



(12)
Material: BaCa3Pd
Method: DFT, GGA-PBE
State: optimized geometry

Structure (extended XYZ):
```
5
Lattice="4.144 0.000 7.058 -2.072 3.589 7.058 -2.072 -3.589 7.058" Properties=species:S:1:pos:R:3 pbc="T T T"
Pd 0.000 0.000 1.752
Ca 1.069 1.852 13.941
Ca 1.069 -1.852 13.941
Ca -2.138 0.000 13.941
Ba 0.000 0.000 17.303
```

## Properties
The energy relative to the lowest polymorph listed for this composition comes out at 717 meV per atom. The value obtained for the formation energy is 0.41 eV/atom.



(13)
Material: Pm8Ir3PbI4
Method: DFT, GGA-PBE
State: optimized geometry

Structure (extended XYZ):
```
16
Lattice="-2.975 3.138 7.442 2.828 -7.820 4.428 5.936 4.367 -4.446" Properties=species:S:1:pos:R:3 pbc="T T T"
Pm 0.311 -1.257 3.348
Pm 4.120 -2.501 2.701
Pm 5.478 0.942 4.076
Pm 3.301 0.766 0.996
I 1.481 3.752 1.498
I 2.968 2.183 -2.223
Pm 2.489 -1.081 6.427
Pm -1.053 0.182 6.762
Pm 6.843 -0.497 0.662
Ir 2.895 -0.157 3.712
Ir -0.073 -2.341 5.935
Ir 4.382 -1.727 -0.009
Pb 1.414 -3.910 2.214
Pm 1.670 2.186 4.723
I 0.000 0.000 0.000
I -1.487 1.569 3.721
```

## Properties
The calculation puts the uncorrected energy at -0.407 Ry per atom.



(14)
Material: B2C
Method: DFT, GGA-PBE
State: optimized geometry

Structure (extended XYZ):
```
12
Lattice="-0.979 1.805 2.847 2.242 -2.786 2.425 3.130 5.615 -0.863" Properties=species:S:1:pos:R:3 pbc="T T T"
B 1.691 2.577 -0.159
B 3.312 4.134 1.003
C 0.674 -0.187 4.549
B 2.743 2.599 2.796
C 1.150 -0.005 3.180
B 1.882 3.580 1.721
B 2.369 -0.757 2.552
B 4.111 1.610 2.523
C 0.509 0.987 2.414
C 3.042 0.848 1.396
B 1.596 1.709 1.462
B 2.204 6.997 2.023
```

## Properties
The energy relative to the lowest polymorph listed for this composition comes out at 245 meV per atom. The value obtained for the formation energy is 0.43 eV/atom.



(15)
Material: TiAlSb3
Method: DFT, GGA-PBE
State: optimized geometry

Structure (extended XYZ):
```
5
Lattice="5.266 0.000 0.000 0.000 5.266 0.000 0.000 0.000 5.266" Properties=species:S:1:pos:R:3 pbc="T T T"
Sb 2.633 0.000 0.000
Al 2.633 2.633 2.633
Ti 0.000 0.000 0.000
Sb 0.000 2.633 0.000
Sb 0.000 0.000 2.633
```

## Properties
The energy relative to the lowest polymorph listed for this composition comes out at 0 meV per atom.



(16)
Material: K2TiCr2S6
Method: DFT, GGA-PBE
State: optimized geometry

Structure (extended XYZ):
```
11
Lattice="6.121 -0.025 0.050 -3.047 5.309 0.050 -1.074 -1.846 7.422" Properties=species:S:1:pos:R:3 pbc="T T T"
S 0.489 4.381 2.464
Cr -0.533 2.611 3.761
S -1.567 0.848 5.058
S 3.567 2.590 2.464
Ti -0.537 -0.923 3.711
K -1.528 4.425 0.050
S 0.516 0.886 2.413
K 4.602 0.859 0.050
Cr 2.533 0.827 3.761
S 1.511 -0.943 5.058
S 1.484 2.552 5.109
```

## Properties
The calculation puts the uncorrected energy at -0.441 Ry per atom.



(17)
Material: Al2Re3
Method: DFT, GGA-PBE
State: optimized geometry

Structure (extended XYZ):
```
5
Lattice="-2.484 4.666 9.736 -2.734 1.997 10.549 -0.227 3.245 10.591" Properties=species:S:1:pos:R:3 pbc="T T T"
Al -2.185 3.977 12.393
Re 0.000 0.000 0.000
Al -3.259 5.931 18.483
Re -4.363 7.939 24.740
Re -1.082 1.969 6.136
```

## Properties
The energy relative to the lowest polymorph listed for this composition comes out at 0 meV per atom. The value obtained for the formation energy is -0.10 eV/atom.



(18)
Material: Ca2AlGeO6
Method: DFT, GGA-PBE
State: optimized geometry

Structure (extended XYZ):
```
20
Lattice="5.334 0.000 -0.017 0.000 5.328 0.000 0.024 0.000 7.527" Properties=species:S:1:pos:R:3 pbc="T T T"
Ge 0.012 2.664 3.763
O 4.137 4.111 7.318
Ca 2.699 2.746 5.636
O 1.221 1.218 0.192
O 4.130 4.109 3.946
O 1.451 3.883 0.191
O 0.289 2.632 5.642
O 5.069 2.696 1.867
O 3.900 1.447 3.947
Al 0.000 2.664 0.000
Ca 0.020 5.246 1.881
Ca 5.338 0.082 5.629
O 2.414 5.296 5.639
O 3.907 1.445 7.318
O 2.944 0.032 1.870
Ge 2.667 0.000 -0.009
Al 2.679 0.000 3.755
Ca 2.659 2.582 1.874
O 1.458 3.882 3.563
O 1.228 1.219 3.563
```

## Properties
The calculation puts the uncorrected energy at -0.488 Ry per atom.



(19)
Material: CsPuTl2Br5
Method: DFT, GGA-PBE
State: optimized geometry

Structure (extended XYZ):
```
9
Lattice="5.725 0.000 0.000 0.000 8.183 0.000 -2.863 -4.091 8.060" Properties=species:S:1:pos:R:3 pbc="T T T"
Br 2.863 6.122 2.134
Br 0.000 -2.031 5.926
Br 2.863 2.060 2.134
Tl 0.000 0.000 3.373
Br 0.000 2.031 5.926
Pu 2.863 0.000 0.000
Tl 2.863 4.091 4.686
Cs 0.000 4.091 0.000
Br 0.000 0.000 0.000
```

## Properties
The calculation puts the uncorrected energy at -0.321 Ry per atom.



(20)
Material: K3CePr2S6
Method: DFT, GGA-PBE
State: optimized geometry

Structure (extended XYZ):
```
12
Lattice="7.325 -0.001 0.000 -3.662 6.344 0.000 -1.221 -2.115 7.387" Properties=species:S:1:pos:R:3 pbc="T T T"
S -1.213 2.101 1.535
Ce 0.000 0.000 0.000
Pr 3.662 2.114 0.000
K 1.221 2.114 3.694
S 3.655 2.127 5.853
K -2.438 4.227 3.694
S 2.450 4.242 1.535
S 2.426 -0.001 1.535
K 4.879 0.001 3.694
Pr 0.001 4.229 0.000
S 0.016 4.229 5.853
S -0.008 -0.015 5.853
```

## Properties
The calculation puts the uncorrected energy at -0.401 Ry per atom.